Entry 1:
This record from Alexandria describes a geometry-optimized Ru structure. The functional is PBE-GGA.

Properties
polymorph energy (0 for the lowest one): 0.914 eV/atom
formation enthalpy at 0 K: 914 meV/atom
uncorrected energy: -8.36 eV/atom

Lattice parameters (Å, degrees): 3.630 3.630 3.630 98.46 98.46 134.89
Fractional positions:
1 Ru 0.375 0.625 0.750
2 Ru 0.625 0.375 0.250

---

Entry 2:
This record from Alexandria describes a geometry-optimized Y4GaAg2Au structure. The functional is PBE-GGA.

Properties
formation enthalpy at 0 K: -539 meV/atom
uncorrected energy: -5.27 eV/atom

Lattice parameters (Å, degrees): 8.892 8.892 8.892 33.43 33.43 33.43
Fractional positions:
1 Y 0.124 0.124 0.124
2 Y 0.374 0.374 0.374
3 Y 0.626 0.626 0.626
4 Y 0.876 0.876 0.876
5 Ga 0.500 0.500 0.500
6 Ag 0.247 0.247 0.247
7 Ag 0.753 0.753 0.753
8 Au 0.000 0.000 0.000

---

Entry 3:
This record from Alexandria describes a geometry-optimized Cs2TiAu structure. The functional is PBE-GGA.

Properties
formation enthalpy at 0 K: 837 meV/atom
uncorrected energy: -2.38 eV/atom

Lattice parameters (Å, degrees): 6.358 6.358 6.358 60.00 60.00 60.00
Fractional positions:
1 Cs 0.250 0.250 0.250
2 Cs 0.750 0.750 0.750
3 Ti 0.000 0.000 0.000
4 Au 0.500 0.500 0.500

---

Entry 4:
This record from Alexandria describes a geometry-optimized Ce4Te2P structure. The functional is PBE-GGA.

Properties
uncorrected formation energy: -1.0259 eV per atom
uncorrected energy: -6.09 eV/atom

Lattice parameters (Å, degrees): 8.374 8.374 7.259 114.90 114.90 28.60
Fractional positions:
1 Ce 0.104 0.104 0.431
2 Ce 0.389 0.389 0.047
3 Ce 0.611 0.611 0.953
4 Ce 0.896 0.896 0.569
5 Te 0.256 0.256 0.261
6 Te 0.744 0.744 0.739
7 P 0.000 0.000 0.000

---

- Among the records above, which one has the lowest uncorrected energy?
  Ru

---

- Among the records above, which one has the lowest uncorrected energy?
  Ru

---

- uncorrected energy of number 4 (Ce4Te2P)?
  -6.09 eV/atom

---

- Look up the uncorrected energy of the second one.
  -5.27 eV/atom